(1)
Material: LiSiAg2
Method: DFT, PBE-GGA
State: optimized geometry

Unit cell a=5.746 b=8.846 c=2.856 alpha=90.00 beta=116.41 gamma=90.00
Space group C2/m (No. 12)
Symmetry-distinct sites (fractional):
Li (0.000, 0.000, 0.000) x2
Si (0.000, 0.500, 0.000) x2
Ag (0.250, 0.250, 0.500) x4

Properties
VASP energy: -3.24 eV per atom
Raw formation energy: 0.083 eV per formula unit
Total moment: 0.00 Bohr magnetons per cell



(2)
Material: Li3SiAg
Method: DFT, PBE-GGA
State: optimized geometry

Unit cell a=6.072 b=3.842 c=6.453 alpha=90.00 beta=92.91 gamma=90.00
Space group P2_1/m (No. 11)
Symmetry-distinct sites (fractional):
Li (0.029, 0.250, 0.344) x2
Li (0.272, 0.250, 0.751) x2
Li (0.449, 0.250, 0.171) x2
Si (0.365, 0.750, 0.459) x2
Ag (0.161, 0.750, 0.076) x2

Properties
VASP energy: -3.01 eV per atom
Raw formation energy: -1.031 eV per formula unit
Total moment: 0.00 Bohr magnetons per cell
Energy above the most stable polymorph in this dataset: 0.000 eV/atom



(3)
Material: LiSiAg2
Method: DFT, PBE-GGA
State: optimized geometry

Unit cell a=4.007 b=4.007 c=17.962 alpha=90.00 beta=90.00 gamma=90.00
Space group I-42d (No. 122)
Symmetry-distinct sites (fractional):
Li (0.000, 0.000, 0.000) x4
Si (0.000, 0.000, 0.500) x4
Ag (0.241, 0.250, 0.625) x8

Properties
VASP energy: -3.06 eV per atom
Raw formation energy: 0.782 eV per formula unit
Total moment: 0.00 Bohr magnetons per cell



(4)
Material: Li5SiAg6
Method: DFT, PBE-GGA
State: optimized geometry

Unit cell a=7.830 b=13.161 c=4.378 alpha=90.00 beta=123.78 gamma=90.00
Space group C2/m (No. 12)
Symmetry-distinct sites (fractional):
Li (0.000, 0.000, 0.000) x2
Li (0.000, 0.169, 0.500) x4
Li (0.000, 0.336, 0.000) x4
Si (0.000, 0.500, 0.500) x2
Ag (0.249, 0.166, 0.249) x8
Ag (0.250, 0.000, 0.750) x4

Properties
VASP energy: -2.85 eV per atom
Raw formation energy: -2.104 eV per formula unit
Total moment: 0.00 Bohr magnetons per cell



(5)
Material: Li6SiAg5
Method: DFT, PBE-GGA
State: optimized geometry

Unit cell a=13.868 b=5.704 c=4.800 alpha=90.00 beta=93.33 gamma=90.00
Space group C2/m (No. 12)
Symmetry-distinct sites (fractional):
Li (0.000, 0.237, 0.000) x4
Li (0.162, 0.247, 0.683) x8
Si (0.000, 0.000, 0.500) x2
Ag (0.000, 0.500, 0.500) x2
Ag (0.167, 0.000, 0.205) x4
Ag (0.171, 0.500, 0.175) x4

Properties
VASP energy: -2.78 eV per atom
Raw formation energy: -2.138 eV per formula unit
Total moment: 0.00 Bohr magnetons per cell



(6)
Material: Li3SiAg6
Method: DFT, PBE-GGA
State: optimized geometry

Unit cell a=10.430 b=13.097 c=5.118 alpha=90.00 beta=90.00 gamma=90.00
Space group Cmc2_1 (No. 36)
Symmetry-distinct sites (fractional):
Li (0.000, 0.137, 0.000) x4
Li (0.195, 0.404, 0.369) x8
Si (0.000, 0.342, 0.057) x4
Ag (0.000, 0.251, 0.495) x4
Ag (0.000, 0.465, 0.687) x4
Ag (0.132, 0.051, 0.494) x8
Ag (0.211, 0.289, 0.849) x8

Properties
VASP energy: -2.87 eV per atom
Raw formation energy: -0.473 eV per formula unit
Total moment: 0.00 Bohr magnetons per cell



| no. | N(E_F) (states/eV per atom) |
| --- | --- |
| 1 | 0.342 |
| 2 | 0.294 |
| 3 | 0.366 |
| 4 | 0.271 |
| 5 | 0.377 |
| 6 | 0.355 |